1.
Density functional theory data (PBE) for a relaxed structure of SrTlInF6.

Geometry as CIF:
```
data_SrTlInF6
_cell_length_a 7.807
_cell_length_b 7.807
_cell_length_c 7.807
_cell_angle_alpha 118.87
_cell_angle_beta 118.85
_cell_angle_gamma 91.99
_space_group_name_H-M_alt 'P 1'
_space_group_IT_number 1
loop_
_space_group_symop_operation_xyz
'x,y,z'
loop_
_atom_site_label
_atom_site_type_symbol
_atom_site_fract_x
_atom_site_fract_y
_atom_site_fract_z
_atom_site_occupancy
Sr1 Sr 0.500 0.000 0.000 1
Sr2 Sr 0.500 0.500 0.500 1
Tl1 Tl 0.118 0.368 0.750 1
Tl2 Tl 0.882 0.632 0.250 1
In1 In 0.000 0.000 0.000 1
In2 In 0.500 0.000 0.500 1
F1 F 0.102 0.319 0.157 1
F2 F 0.102 0.946 0.784 1
F3 F 0.330 0.080 0.250 1
F4 F 0.338 0.054 0.657 1
F5 F 0.338 0.681 0.284 1
F6 F 0.376 0.626 0.750 1
F7 F 0.624 0.374 0.250 1
F8 F 0.662 0.319 0.716 1
F9 F 0.662 0.946 0.343 1
F10 F 0.670 0.920 0.750 1
F11 F 0.898 0.054 0.216 1
F12 F 0.898 0.681 0.843 1
```

## Properties
- Crystal system: orthorhombic
- Volume: 171.0 Å³/f.u.
- E_form (uncorrected): -2.8136 eV per atom
- Magnetization: 0.00 μB/atom
- Final energy: -4.815 eV/atom

2.
Density functional theory data (PBE) for a relaxed structure of Pr2MgRuC.

Geometry as CIF:
```
data_Pr2MgRuC
_cell_length_a 5.322
_cell_length_b 5.322
_cell_length_c 3.951
_cell_angle_alpha 90.00
_cell_angle_beta 90.00
_cell_angle_gamma 90.00
_space_group_name_H-M_alt 'P 1'
_space_group_IT_number 1
loop_
_space_group_symop_operation_xyz
'x,y,z'
loop_
_atom_site_label
_atom_site_type_symbol
_atom_site_fract_x
_atom_site_fract_y
_atom_site_fract_z
_atom_site_occupancy
Pr1 Pr 0.000 0.500 0.000 1
Pr2 Pr 0.500 0.000 0.000 1
Mg1 Mg 0.000 0.000 0.500 1
Ru1 Ru 0.500 0.500 0.500 1
C1 C 0.500 0.500 0.000 1
```

## Properties
- Crystal system: tetragonal
- Volume: 111.9 Å³/f.u.
- Magnetization: 0.00 μB/atom
- Final energy: -6.105 eV/atom
- Formation energy from the elements: -84 kJ/mol of formula units